{
  "formula": "SrCoTe",
  "functional": "GGA-PBE",
  "state": "relaxed",
  "energy_ev_per_atom": -4.545,
  "vol_a3_per_atom": 25.0,
  "space_group": "No. 194",
  "lattice_angstrom": [[4.317, 0.000, 0.000], [-2.159, 3.739, 0.000], [0.000, 0.000, 9.307]],
  "species": ["Sr", "Sr", "Co", "Co", "Te", "Te"],
  "frac_coords": [[0.000, 0.000, 0.000], [0.000, 0.000, 0.500], [0.333, 0.667, 0.250], [0.667, 0.333, 0.750], [0.333, 0.667, 0.750], [0.667, 0.333, 0.250]]
}

=====

{
  "formula": "SrCoTe",
  "functional": "GGA-PBE",
  "state": "relaxed",
  "energy_ev_per_atom": -3.730,
  "vol_a3_per_atom": 33.3,
  "space_group": "No. 216",
  "lattice_angstrom": [[0.000, 3.684, 3.684], [3.684, 0.000, 3.684], [3.684, 3.684, 0.000]],
  "species": ["Sr", "Co", "Te"],
  "frac_coords": [[0.000, 0.000, 0.000], [0.250, 0.250, 0.250], [0.750, 0.750, 0.750]]
}

=====

{
  "formula": "SrCoTe3",
  "functional": "GGA-PBE",
  "state": "relaxed",
  "energy_ev_per_atom": -2.697,
  "vol_a3_per_atom": 45.0,
  "space_group": "No. 221",
  "lattice_angstrom": [[6.080, 0.000, 0.000], [0.000, 6.080, 0.000], [0.000, 0.000, 6.080]],
  "species": ["Sr", "Co", "Te", "Te", "Te"],
  "frac_coords": [[0.000, 0.000, 0.000], [0.500, 0.500, 0.500], [0.000, 0.000, 0.500], [0.000, 0.500, 0.000], [0.500, 0.000, 0.000]]
}

=====

{
  "formula": "Sr3Co5Te12",
  "functional": "GGA-PBE",
  "state": "relaxed",
  "energy_ev_per_atom": -4.271,
  "vol_a3_per_atom": 28.8,
  "space_group": "No. 230",
  "lattice_angstrom": [[-8.320, 8.320, 8.320], [8.320, -8.320, 8.320], [8.320, 8.320, -8.320]],
  "species": ["Sr", "Sr", "Sr", "Sr", "Sr", "Sr", "Sr", "Sr", "Sr", "Sr", "Sr", "Sr", "Co", "Co", "Co", "Co", "Co", "Co", "Co", "Co", "Co", "Co", "Co", "Co", "Co", "Co", "Co", "Co", "Co", "Co", "Co", "Co", "Te", "Te", "Te", "Te", "Te", "Te", "Te", "Te", "Te", "Te", "Te", "Te", "Te", "Te", "Te", "Te", "Te", "Te", "Te", "Te", "Te", "Te", "Te", "Te", "Te", "Te", "Te", "Te", "Te", "Te", "Te", "Te", "Te", "Te", "Te", "Te", "Te", "Te", "Te", "Te", "Te", "Te", "Te", "Te", "Te", "Te", "Te", "Te"],
  "frac_coords": [[0.125, 0.250, 0.375], [0.125, 0.375, 0.750], [0.250, 0.375, 0.125], [0.250, 0.875, 0.625], [0.375, 0.125, 0.250], [0.375, 0.750, 0.125], [0.625, 0.250, 0.875], [0.625, 0.875, 0.750], [0.750, 0.125, 0.375], [0.750, 0.625, 0.875], [0.875, 0.625, 0.250], [0.875, 0.750, 0.625], [0.000, 0.000, 0.000], [0.000, 0.000, 0.500], [0.000, 0.500, 0.000], [0.000, 0.500, 0.500], [0.125, 0.750, 0.875], [0.125, 0.875, 0.250], [0.250, 0.125, 0.875], [0.250, 0.625, 0.375], [0.375, 0.250, 0.625], [0.375, 0.625, 0.750], [0.500, 0.000, 0.000], [0.500, 0.000, 0.500], [0.500, 0.500, 0.000], [0.500, 0.500, 0.500], [0.625, 0.375, 0.250], [0.625, 0.750, 0.375], [0.750, 0.375, 0.625], [0.750, 0.875, 0.125], [0.875, 0.125, 0.750], [0.875, 0.250, 0.125], [0.014, 0.196, 0.101], [0.014, 0.318, 0.913], [0.087, 0.601, 0.405], [0.087, 0.986, 0.682], [0.095, 0.696, 0.682], [0.095, 0.899, 0.413], [0.101, 0.014, 0.196], [0.101, 0.587, 0.905], [0.182, 0.196, 0.595], [0.182, 0.486, 0.587], [0.196, 0.101, 0.014], [0.196, 0.595, 0.182], [0.304, 0.318, 0.905], [0.304, 0.486, 0.399], [0.318, 0.905, 0.304], [0.318, 0.913, 0.014], [0.399, 0.304, 0.486], [0.399, 0.595, 0.913], [0.405, 0.087, 0.601], [0.405, 0.818, 0.804], [0.413, 0.095, 0.899], [0.413, 0.818, 0.514], [0.486, 0.399, 0.304], [0.486, 0.587, 0.182], [0.514, 0.413, 0.818], [0.514, 0.601, 0.696], [0.587, 0.182, 0.486], [0.587, 0.905, 0.101], [0.595, 0.182, 0.196], [0.595, 0.913, 0.399], [0.601, 0.405, 0.087], [0.601, 0.696, 0.514], [0.682, 0.087, 0.986], [0.682, 0.095, 0.696], [0.696, 0.514, 0.601], [0.696, 0.682, 0.095], [0.804, 0.405, 0.818], [0.804, 0.899, 0.986], [0.818, 0.514, 0.413], [0.818, 0.804, 0.405], [0.899, 0.413, 0.095], [0.899, 0.986, 0.804], [0.905, 0.101, 0.587], [0.905, 0.304, 0.318], [0.913, 0.014, 0.318], [0.913, 0.399, 0.595], [0.986, 0.682, 0.087], [0.986, 0.804, 0.899]]
}

=====

{
  "formula": "SrCoTe3",
  "functional": "GGA-PBE",
  "state": "relaxed",
  "energy_ev_per_atom": -4.028,
  "vol_a3_per_atom": 28.1,
  "space_group": "No. 221",
  "lattice_angstrom": [[5.201, 0.000, 0.000], [0.000, 5.201, 0.000], [0.000, 0.000, 5.201]],
  "species": ["Sr", "Co", "Te", "Te", "Te"],
  "frac_coords": [[0.000, 0.000, 0.000], [0.500, 0.500, 0.500], [0.000, 0.500, 0.500], [0.500, 0.000, 0.500], [0.500, 0.500, 0.000]]
}

=====

{
  "formula": "SrCo2Te2",
  "functional": "GGA-PBE",
  "state": "relaxed",
  "energy_ev_per_atom": -4.669,
  "vol_a3_per_atom": 21.8,
  "space_group": "No. 139",
  "lattice_angstrom": [[-2.436, 2.436, 4.594], [2.436, -2.436, 4.594], [2.436, 2.436, -4.594]],
  "species": ["Sr", "Co", "Co", "Te", "Te"],
  "frac_coords": [[0.000, 0.000, 0.000], [0.367, 0.367, 0.000], [0.633, 0.633, 0.000], [0.250, 0.750, 0.500], [0.750, 0.250, 0.500]]
}

=====

{
  "formula": "SrCoTe",
  "functional": "GGA-PBE",
  "state": "relaxed",
  "energy_ev_per_atom": -4.552,
  "vol_a3_per_atom": 25.1,
  "space_group": "No. 187",
  "lattice_angstrom": [[4.335, 0.000, 0.000], [-2.167, 3.754, 0.000], [0.000, 0.000, 4.633]],
  "species": ["Sr", "Co", "Te"],
  "frac_coords": [[0.000, 0.000, 0.000], [0.333, 0.667, 0.500], [0.667, 0.333, 0.500]]
}

=====

{
  "formula": "SrCoTe",
  "functional": "GGA-PBE",
  "state": "relaxed",
  "energy_ev_per_atom": -4.259,
  "vol_a3_per_atom": 24.5,
  "space_group": "No. 216",
  "lattice_angstrom": [[0.000, 3.326, 3.326], [3.326, 0.000, 3.326], [3.326, 3.326, 0.000]],
  "species": ["Sr", "Co", "Te"],
  "frac_coords": [[0.000, 0.000, 0.000], [0.250, 0.250, 0.250], [0.500, 0.500, 0.500]]
}

=====

{
  "formula": "SrCo3Te",
  "functional": "GGA-PBE",
  "state": "relaxed",
  "energy_ev_per_atom": -3.302,
  "vol_a3_per_atom": 22.0,
  "space_group": "No. 221",
  "lattice_angstrom": [[4.795, 0.000, 0.000], [0.000, 4.795, 0.000], [0.000, 0.000, 4.795]],
  "species": ["Sr", "Co", "Co", "Co", "Te"],
  "frac_coords": [[0.000, 0.000, 0.000], [0.000, 0.000, 0.500], [0.000, 0.500, 0.000], [0.500, 0.000, 0.000], [0.500, 0.500, 0.500]]
}

=====

{
  "formula": "Sr2CoTe4",
  "functional": "GGA-PBE",
  "state": "relaxed",
  "energy_ev_per_atom": -4.027,
  "vol_a3_per_atom": 31.5,
  "space_group": "No. 139",
  "lattice_angstrom": [[-2.551, 2.551, 8.461], [2.551, -2.551, 8.461], [2.551, 2.551, -8.461]],
  "species": ["Sr", "Sr", "Co", "Te", "Te", "Te", "Te"],
  "frac_coords": [[0.143, 0.143, 0.000], [0.857, 0.857, 0.000], [0.500, 0.500, 0.000], [0.000, 0.500, 0.500], [0.339, 0.339, 0.000], [0.500, 0.000, 0.500], [0.661, 0.661, 0.000]]
}

=====

{
  "formula": "SrTh2Co",
  "functional": "GGA-PBE",
  "state": "relaxed",
  "energy_ev_per_atom": -5.849,
  "vol_a3_per_atom": 34.9,
  "space_group": "No. 166",
  "lattice_angstrom": [[1.945, 1.123, 10.650], [-1.945, 1.123, 10.650], [0.000, -2.246, 10.650]],
  "species": ["Sr", "Th", "Th", "Co"],
  "frac_coords": [[0.000, 0.000, 0.000], [0.119, 0.119, 0.119], [0.881, 0.881, 0.881], [0.500, 0.500, 0.500]]
}

=====

{
  "formula": "Sr2TiCo2",
  "functional": "GGA-PBE",
  "state": "relaxed",
  "energy_ev_per_atom": -4.676,
  "vol_a3_per_atom": 21.9,
  "space_group": "No. 127",
  "lattice_angstrom": [[6.649, 0.000, 0.000], [0.000, 6.649, 0.000], [0.000, 0.000, 4.945]],
  "species": ["Sr", "Sr", "Sr", "Sr", "Ti", "Ti", "Co", "Co", "Co", "Co"],
  "frac_coords": [[0.178, 0.322, 0.000], [0.322, 0.822, 0.000], [0.678, 0.178, 0.000], [0.822, 0.678, 0.000], [0.000, 0.000, 0.500], [0.500, 0.500, 0.500], [0.122, 0.622, 0.500], [0.378, 0.122, 0.500], [0.622, 0.878, 0.500], [0.878, 0.378, 0.500]]
}

=====

{
  "formula": "SrTiCo3",
  "functional": "GGA-PBE",
  "state": "relaxed",
  "energy_ev_per_atom": -4.139,
  "vol_a3_per_atom": 19.8,
  "space_group": "No. 221",
  "lattice_angstrom": [[4.625, 0.000, 0.000], [0.000, 4.625, 0.000], [0.000, 0.000, 4.625]],
  "species": ["Sr", "Ti", "Co", "Co", "Co"],
  "frac_coords": [[0.000, 0.000, 0.000], [0.500, 0.500, 0.500], [0.000, 0.000, 0.500], [0.000, 0.500, 0.000], [0.500, 0.000, 0.000]]
}

=====

{
  "formula": "SrTiCo3",
  "functional": "GGA-PBE",
  "state": "relaxed",
  "energy_ev_per_atom": -5.576,
  "vol_a3_per_atom": 18.1,
  "space_group": "No. 221",
  "lattice_angstrom": [[4.494, 0.000, 0.000], [0.000, 4.494, 0.000], [0.000, 0.000, 4.494]],
  "species": ["Sr", "Ti", "Co", "Co", "Co"],
  "frac_coords": [[0.000, 0.000, 0.000], [0.500, 0.500, 0.500], [0.000, 0.500, 0.500], [0.500, 0.000, 0.500], [0.500, 0.500, 0.000]]
}

=====

{
  "formula": "SrTiCo2W",
  "functional": "GGA-PBE",
  "state": "relaxed",
  "energy_ev_per_atom": -4.847,
  "vol_a3_per_atom": 20.0,
  "space_group": "No. 123",
  "lattice_angstrom": [[4.461, 0.000, 0.000], [0.000, 4.461, 0.000], [0.000, 0.000, 5.018]],
  "species": ["Sr", "Ti", "Co", "Co", "W"],
  "frac_coords": [[0.000, 0.000, 0.000], [0.500, 0.500, 0.500], [0.000, 0.500, 0.000], [0.500, 0.000, 0.000], [0.000, 0.000, 0.500]]
}

=====

{
  "formula": "SrZrTi2Co",
  "functional": "GGA-PBE",
  "state": "relaxed",
  "energy_ev_per_atom": -5.719,
  "vol_a3_per_atom": 23.9,
  "space_group": "No. 123",
  "lattice_angstrom": [[5.029, 0.000, 0.000], [0.000, 5.029, 0.000], [0.000, 0.000, 4.734]],
  "species": ["Sr", "Zr", "Ti", "Ti", "Co"],
  "frac_coords": [[0.000, 0.000, 0.000], [0.500, 0.500, 0.500], [0.000, 0.500, 0.500], [0.500, 0.000, 0.500], [0.500, 0.500, 0.000]]
}

=====

{
  "formula": "SrTl2Co",
  "functional": "GGA-PBE",
  "state": "relaxed",
  "energy_ev_per_atom": -3.181,
  "vol_a3_per_atom": 27.1,
  "space_group": "No. 6",
  "lattice_angstrom": [[4.788, 0.000, 0.000], [0.000, 3.877, 0.000], [-2.383, 0.000, 5.848]],
  "species": ["Sr", "Tl", "Tl", "Co"],
  "frac_coords": [[0.000, 0.000, 0.000], [0.321, 0.500, 0.642], [0.706, 0.000, 0.413], [0.548, 0.500, 0.097]]
}

=====

{
  "formula": "Sr2Tl2Co",
  "functional": "GGA-PBE",
  "state": "relaxed",
  "energy_ev_per_atom": -2.682,
  "vol_a3_per_atom": 33.9,
  "space_group": "No. 127",
  "lattice_angstrom": [[8.133, 0.000, 0.000], [0.000, 8.133, 0.000], [0.000, 0.000, 5.130]],
  "species": ["Sr", "Sr", "Sr", "Sr", "Tl", "Tl", "Tl", "Tl", "Co", "Co"],
  "frac_coords": [[0.168, 0.332, 0.000], [0.332, 0.832, 0.000], [0.668, 0.168, 0.000], [0.832, 0.668, 0.000], [0.143, 0.643, 0.500], [0.357, 0.143, 0.500], [0.643, 0.857, 0.500], [0.857, 0.357, 0.500], [0.000, 0.000, 0.000], [0.500, 0.500, 0.000]]
}

=====

{
  "formula": "SrTl2Co",
  "functional": "GGA-PBE",
  "state": "relaxed",
  "energy_ev_per_atom": -3.050,
  "vol_a3_per_atom": 32.7,
  "space_group": "No. 122",
  "lattice_angstrom": [[-2.827, 2.827, 8.186], [2.827, -2.827, 8.186], [2.827, 2.827, -8.186]],
  "species": ["Sr", "Sr", "Tl", "Tl", "Tl", "Tl", "Co", "Co"],
  "frac_coords": [[0.000, 0.000, 0.000], [0.750, 0.250, 0.500], [0.286, 0.625, 0.161], [0.375, 0.536, 0.661], [0.464, 0.125, 0.839], [0.875, 0.714, 0.339], [0.250, 0.750, 0.500], [0.500, 0.500, 0.000]]
}

=====

{
  "formula": "SrTlCo2",
  "functional": "GGA-PBE",
  "state": "relaxed",
  "energy_ev_per_atom": -4.102,
  "vol_a3_per_atom": 25.4,
  "space_group": "No. 141",
  "lattice_angstrom": [[-2.353, 2.353, 9.165], [2.353, -2.353, 9.165], [2.353, 2.353, -9.165]],
  "species": ["Sr", "Sr", "Tl", "Tl", "Co", "Co", "Co", "Co"],
  "frac_coords": [[0.375, 0.625, 0.750], [0.625, 0.375, 0.250], [0.125, 0.875, 0.250], [0.875, 0.125, 0.750], [0.000, 0.000, 0.000], [0.000, 0.000, 0.500], [0.000, 0.500, 0.000], [0.500, 0.000, 0.500]]
}

=====

{
  "formula": "Sr2Tl2Co",
  "functional": "GGA-PBE",
  "state": "relaxed",
  "energy_ev_per_atom": -2.702,
  "vol_a3_per_atom": 34.2,
  "space_group": "No. 139",
  "lattice_angstrom": [[-2.119, 2.119, 9.508], [2.119, -2.119, 9.508], [2.119, 2.119, -9.508]],
  "species": ["Sr", "Sr", "Tl", "Tl", "Co"],
  "frac_coords": [[0.092, 0.092, 0.000], [0.908, 0.908, 0.000], [0.250, 0.750, 0.500], [0.750, 0.250, 0.500], [0.500, 0.500, 0.000]]
}

=====

{
  "formula": "SrTlCo2",
  "functional": "GGA-PBE",
  "state": "relaxed",
  "energy_ev_per_atom": -4.431,
  "vol_a3_per_atom": 22.5,
  "space_group": "No. 160",
  "lattice_angstrom": [[2.015, 1.163, 6.408], [-2.015, 1.163, 6.408], [0.000, -2.326, 6.408]],
  "species": ["Sr", "Tl", "Co", "Co"],
  "frac_coords": [[0.000, 0.000, 0.000], [0.198, 0.198, 0.198], [0.448, 0.448, 0.448], [0.780, 0.780, 0.780]]
}

=====

{
  "formula": "Sr4TlCo",
  "functional": "GGA-PBE",
  "state": "relaxed",
  "energy_ev_per_atom": -1.882,
  "vol_a3_per_atom": 41.0,
  "space_group": "No. 216",
  "lattice_angstrom": [[0.000, 4.971, 4.971], [4.971, 0.000, 4.971], [4.971, 4.971, 0.000]],
  "species": ["Sr", "Sr", "Sr", "Sr", "Tl", "Co"],
  "frac_coords": [[0.125, 0.125, 0.125], [0.125, 0.125, 0.625], [0.125, 0.625, 0.125], [0.625, 0.125, 0.125], [0.750, 0.750, 0.750], [0.500, 0.500, 0.500]]
}

=====

{
  "formula": "SrTl2Co",
  "functional": "GGA-PBE",
  "state": "relaxed",
  "energy_ev_per_atom": -3.261,
  "vol_a3_per_atom": 26.3,
  "space_group": "No. 12",
  "lattice_angstrom": [[3.945, -2.274, 0.000], [3.945, 2.274, 0.000], [-2.620, 0.000, 5.857]],
  "species": ["Sr", "Tl", "Tl", "Co"],
  "frac_coords": [[0.000, 0.000, 0.000], [0.214, 0.214, 0.644], [0.786, 0.786, 0.356], [0.500, 0.500, 0.500]]
}